#a
Here is Li24Mn7Cr5O36 after structural relaxation from Alexandria. Energies are from PBE with a Hubbard U.

abc: 5.011 9.749 13.302
angles: 97.30 100.83 94.58
Atoms (fractional coordinates):
Mn1 0.107 0.248 0.974
Mn2 0.219 0.249 0.194
Li1 0.722 0.502 0.449
Li2 0.960 0.000 0.387
O1 0.327 0.862 0.595
Cr1 0.118 0.751 0.473
Li3 0.828 0.000 0.168
O2 0.069 0.636 0.785
Li4 0.621 0.998 0.721
O3 0.996 0.637 0.573
Li5 0.507 0.001 0.496
Mn3 0.559 0.752 0.360
O4 0.515 0.637 0.688
O5 0.603 0.366 0.546
Li6 0.000 0.249 0.750
O6 0.672 0.638 0.904
Cr2 0.769 0.750 0.808
Cr3 0.455 0.251 0.639
Li7 0.831 0.503 0.665
O7 0.517 0.137 0.189
O8 0.264 0.363 0.883
Mn4 0.217 0.747 0.694
O9 0.808 0.361 0.975
Li8 0.049 0.001 0.613
Li9 0.283 0.500 0.555
O10 0.675 0.139 0.404
Li10 0.050 0.499 0.113
Li11 0.333 0.252 0.417
O11 0.810 0.863 0.475
O12 0.739 0.635 0.119
O13 0.661 0.363 0.758
O14 0.928 0.863 0.716
Li12 0.003 0.751 0.250
Cr4 0.545 0.248 0.861
Cr5 0.771 0.251 0.306
O15 0.192 0.637 0.024
Li13 0.374 0.500 0.776
O16 0.669 0.862 0.261
O17 0.597 0.862 0.048
Li14 0.623 0.503 0.222
Mn5 0.896 0.254 0.527
O18 0.335 0.639 0.238
Li15 0.281 0.000 0.053
O19 0.002 0.863 0.932
Mn6 0.893 0.751 0.029
O20 0.268 0.867 0.380
O21 0.071 0.136 0.284
Li16 0.376 0.998 0.277
O22 0.476 0.362 0.308
Mn7 0.446 0.749 0.139
O23 0.400 0.638 0.450
Li17 0.953 0.498 0.887
O24 0.341 0.136 0.741
Li18 0.329 0.750 0.918
Li19 0.504 0.499 0.002
Li20 0.669 0.750 0.584
O25 0.193 0.139 0.524
O26 0.145 0.861 0.143
O27 0.993 0.138 0.071
O28 0.331 0.361 0.095
O29 0.144 0.360 0.644
O30 0.477 0.861 0.809
O31 0.397 0.134 0.954
Li21 0.167 0.500 0.333
Li22 0.163 0.999 0.835
Li23 0.662 0.248 0.083
O32 0.930 0.364 0.216
O33 0.857 0.639 0.358
O34 0.737 0.136 0.617
O35 0.857 0.138 0.857
Li24 0.717 0.001 0.949
O36 0.007 0.364 0.431

#b
Here is Li24Mn7Cr5O36 after structural relaxation from Alexandria. Energies are from PBE with a Hubbard U.

abc: 5.006 9.732 13.286
angles: 96.90 100.29 94.59
Atoms (fractional coordinates):
Li1 0.613 0.997 0.716
O1 0.738 0.136 0.619
Li2 0.721 0.002 0.950
Li3 0.372 0.996 0.277
O2 0.856 0.139 0.858
Li4 0.713 0.500 0.444
O3 0.006 0.364 0.432
O4 0.003 0.864 0.931
O5 0.402 0.637 0.451
O6 0.477 0.861 0.808
O7 0.142 0.861 0.143
O8 0.331 0.361 0.095
Li5 0.828 0.502 0.667
O9 0.598 0.364 0.548
O10 0.193 0.638 0.024
Li6 0.661 0.750 0.584
Mn1 0.444 0.749 0.139
Li7 0.630 0.504 0.224
Cr1 0.771 0.750 0.807
O11 0.263 0.865 0.382
O12 0.142 0.361 0.644
Mn2 0.110 0.251 0.972
Li8 0.167 0.999 0.834
O13 0.331 0.136 0.736
O14 0.851 0.637 0.356
O15 0.071 0.636 0.785
Mn3 0.893 0.751 0.029
O16 0.402 0.137 0.951
Li9 0.828 0.001 0.167
Cr2 0.562 0.250 0.859
O17 0.660 0.362 0.761
O18 0.933 0.364 0.216
Cr3 0.226 0.248 0.192
O19 0.596 0.864 0.048
Li10 0.330 0.751 0.917
O20 0.003 0.639 0.572
Li11 0.998 0.749 0.250
O21 0.335 0.862 0.598
O22 0.193 0.138 0.523
Li12 0.045 0.499 0.113
Mn4 0.443 0.248 0.638
O23 0.737 0.636 0.119
Cr4 0.103 0.751 0.474
O24 0.486 0.363 0.310
Mn5 0.553 0.749 0.360
Cr5 0.775 0.252 0.308
Li13 0.503 0.999 0.499
Li14 0.332 0.251 0.417
Li15 0.004 0.249 0.749
Li16 0.962 0.501 0.890
O25 0.515 0.137 0.190
Mn6 0.893 0.252 0.529
O26 0.815 0.364 0.978
Li17 0.957 0.000 0.386
Li18 0.059 0.002 0.618
Li19 0.371 0.500 0.777
Li20 0.670 0.250 0.082
O27 0.332 0.638 0.238
O28 0.674 0.639 0.905
O29 0.810 0.862 0.474
O30 0.674 0.139 0.405
Li21 0.284 0.499 0.553
O31 0.263 0.364 0.882
O32 0.517 0.637 0.689
O33 0.994 0.137 0.069
Li22 0.166 0.501 0.334
O34 0.069 0.136 0.285
O35 0.931 0.863 0.715
Li23 0.276 0.999 0.051
O36 0.664 0.862 0.261
Li24 0.505 0.499 0.000
Mn7 0.223 0.750 0.694

#c
Here is Li24Mn7Cr5O36 after structural relaxation from Alexandria. Energies are from PBE with a Hubbard U.

abc: 5.003 9.732 13.273
angles: 96.95 100.35 94.62
Atoms (fractional coordinates):
Li1 0.329 0.250 0.417
O1 0.477 0.361 0.308
Mn1 0.557 0.250 0.861
Cr1 0.103 0.750 0.473
O2 0.005 0.639 0.572
Mn2 0.890 0.250 0.527
Li2 0.381 0.501 0.779
Li3 0.050 0.000 0.614
Cr2 0.773 0.750 0.807
O3 0.516 0.136 0.188
Li4 0.955 0.499 0.884
O4 0.331 0.638 0.238
Li5 0.998 0.749 0.250
Li6 0.622 0.000 0.720
O5 0.813 0.362 0.975
Li7 0.662 0.250 0.085
Mn3 0.445 0.750 0.139
O6 0.005 0.864 0.931
Mn4 0.552 0.748 0.359
O7 0.072 0.636 0.785
Li8 0.831 0.000 0.167
O8 0.932 0.363 0.215
O9 0.403 0.636 0.451
O10 0.186 0.136 0.522
O11 0.143 0.862 0.143
Mn5 0.894 0.752 0.029
Mn6 0.224 0.250 0.194
Li9 0.960 0.001 0.387
Cr3 0.771 0.250 0.306
Cr4 0.106 0.250 0.974
O12 0.070 0.136 0.284
O13 0.194 0.639 0.024
Mn7 0.224 0.750 0.694
Li10 0.055 0.501 0.116
Li11 0.162 0.500 0.334
Li12 0.502 0.500 0.001
O14 0.809 0.861 0.474
Li13 0.286 0.999 0.053
O15 0.337 0.139 0.738
O16 0.675 0.639 0.905
O17 0.598 0.864 0.048
O18 0.003 0.139 0.071
O19 0.851 0.636 0.355
O20 0.335 0.863 0.598
O21 0.932 0.864 0.715
Li14 0.714 0.500 0.446
O22 0.518 0.637 0.689
O23 0.671 0.364 0.764
O24 0.598 0.364 0.548
Li15 0.832 0.501 0.667
O25 0.738 0.636 0.118
Li16 0.288 0.500 0.552
O26 0.736 0.136 0.618
Li17 0.376 0.998 0.277
O27 0.265 0.365 0.882
Li18 0.331 0.751 0.917
O28 0.671 0.138 0.404
O29 0.852 0.137 0.855
O30 0.146 0.361 0.642
O31 0.404 0.137 0.952
Li19 0.619 0.501 0.220
Li20 0.498 0.999 0.500
O32 0.264 0.864 0.382
Li21 0.164 0.000 0.834
O33 0.478 0.861 0.808
Cr5 0.440 0.250 0.640
Li22 0.996 0.250 0.751
O34 0.666 0.861 0.261
O35 0.003 0.363 0.431
Li23 0.662 0.750 0.584
Li24 0.716 0.001 0.946
O36 0.336 0.363 0.098

Stability check: which of them is most stable? #a.

#a
Here is Li2MnCr2O6 after structural relaxation from Alexandria. Energies are from PBE with a Hubbard U.

abc: 7.841 7.841 5.991
angles: 78.50 78.50 68.75
Atoms (fractional coordinates):
O1 0.994 0.994 0.223
O2 0.984 0.326 0.901
Cr1 0.496 0.168 0.333
O3 0.001 0.657 0.560
Li1 0.833 0.500 0.173
O4 0.016 0.674 0.099
O5 0.674 0.016 0.099
O6 0.006 0.006 0.777
Mn1 0.165 0.835 0.000
Mn2 0.835 0.165 0.000
O7 0.674 0.334 0.783
Li2 0.167 0.500 0.827
Li3 0.168 0.832 0.500
O8 0.334 0.674 0.783
Mn3 0.500 0.500 0.000
Cr2 0.504 0.832 0.667
O9 0.666 0.326 0.217
Li4 0.500 0.167 0.827
O10 0.348 0.348 0.088
O11 0.652 0.652 0.912
O12 0.326 0.984 0.901
Li5 0.500 0.833 0.173
Cr3 0.834 0.834 0.333
O13 0.999 0.343 0.440
O14 0.678 0.678 0.431
Cr4 0.166 0.166 0.667
Li6 0.832 0.168 0.500
O15 0.326 0.666 0.217
Cr5 0.168 0.496 0.333
O16 0.322 0.322 0.569
Cr6 0.832 0.504 0.667
O17 0.343 0.999 0.440
O18 0.657 0.001 0.560

#b
Here is Li2MnCr2O6 after structural relaxation from Alexandria. Energies are from PBE with a Hubbard U.

abc: 5.113 5.113 10.150
angles: 90.00 90.00 119.74
Atoms (fractional coordinates):
O1 0.325 0.993 0.895
O2 0.675 0.007 0.105
O3 0.825 0.493 0.605
Li1 0.359 0.859 0.250
O4 0.680 0.680 0.901
O5 0.820 0.820 0.401
Li2 0.641 0.141 0.750
Cr1 0.163 0.837 0.500
O6 0.493 0.825 0.605
Cr2 0.337 0.663 0.000
Li3 0.859 0.359 0.250
O7 0.175 0.507 0.395
Mn1 0.500 0.500 0.500
O8 0.007 0.675 0.105
Cr3 0.663 0.337 0.000
Li4 0.141 0.641 0.750
O9 0.180 0.180 0.599
O10 0.320 0.320 0.099
Mn2 0.000 0.000 0.000
O11 0.993 0.325 0.895
Cr4 0.837 0.163 0.500
O12 0.507 0.175 0.395

Stability check: which of them is most stable? #a.